(1)
PmS2 | PBE | optimized geometry

Results
Total DFT energy (no corrections), eV per atom: -5.75
DOS at the Fermi energy, states/eV/cell: 2.89
Crystal system: triclinic
Energy relative to the lowest polymorph listed for this composition, meV per atom: 332.4
SG: P-1 (2)
Size of the total moment, Bohr magnetons per cell: 0.000

a b c (Å): 4.0242 5.2363 7.2814
angles (deg): 78.01 87.00 81.96
With the nearest neighbours (Å) after each atom.
Fractional positions:
Pm 0.0109 0.3192 0.2582  7 S 2.77-3.08
Pm 0.9891 0.6808 0.7418  7 S 2.77-3.08
S 0.0000 0.0000 0.0000  2 Pm 2.77, 2 S 3.07
S 0.5000 0.0000 0.5000  2 S 2.62, 2 Pm 2.83
S 0.5000 0.5000 0.0000  4 Pm 2.77-2.79, 2 S 3.07
S 0.5000 0.5000 0.5000  2 S 2.62, 2 Pm 2.83

(2)
Nb2GaRu | PBE | optimized geometry

Results
Total DFT energy (no corrections), eV per atom: -7.87
DOS at the Fermi energy, states/eV/cell: 7.40
Crystal system: tetragonal
SG: I-42d (122)
Size of the total moment, Bohr magnetons per cell: 0.000

a b c (Å): 5.8283 5.8283 5.8283
angles (deg): 102.23 102.23 125.20
With the nearest neighbours (Å) after each atom.
Fractional positions:
Nb 0.0940 0.6250 0.9690  2 Ru 2.52, 2 Nb 2.72
Nb 0.3750 0.3440 0.4690  2 Ru 2.52, 2 Nb 2.72
Nb 0.6560 0.1250 0.0310  2 Ru 2.52, 2 Nb 2.72
Nb 0.8750 0.9060 0.5310  2 Ru 2.52, 2 Nb 2.72
Ga 0.2500 0.7500 0.5000  2 Ru 2.68, 4 Nb 2.83
Ga 0.5000 0.5000 0.0000  2 Ru 2.68, 4 Nb 2.83
Ru 0.0000 0.0000 0.0000  4 Nb 2.52, 2 Ga 2.68
Ru 0.7500 0.2500 0.5000  4 Nb 2.52, 2 Ga 2.68

(3)
Zr3PbO | PBE | optimized geometry

Results
Total DFT energy (no corrections), eV per atom: -7.86
DOS at the Fermi energy, states/eV/cell: 7.82
Crystal system: cubic
Energy relative to the lowest polymorph listed for this composition, meV per atom: 0.0
SG: Pm-3m (221)
Size of the total moment, Bohr magnetons per cell: 0.000

a b c (Å): 4.5554 4.5554 4.5554
angles (deg): 90.00 90.00 90.00
With the nearest neighbours (Å) after each atom.
Fractional positions:
Zr 0.0000 0.0000 0.5000  2 O 2.28
Zr 0.0000 0.5000 0.0000  2 O 2.28
Zr 0.5000 0.0000 0.0000  2 O 2.28
Pb 0.5000 0.5000 0.5000  12 Zr 3.22
O 0.0000 0.0000 0.0000  6 Zr 2.28

- Number 2 is which compound?
  Nb2GaRu

- Look up the size of the total moment of the second one.
  0.000 Bohr magnetons per cell

- DOS at the Fermi energy of number 3 (Zr3PbO)?
  7.82 states/eV/cell